Below is a relaxed structure of Na3NbPd2Se6, with properties calculated at the PBE-GGA level.

abc: 6.7511 6.7511 7.1616
angles: 99.03 99.03 120.14
Last column: nearest neighbours and their distance in Å.
Positions (direct):
Pd: 0.6662 0.3338 0.0000  6 Se 2.63-2.65
Na: 0.1692 0.8308 0.5000  6 Se 3.01-3.03
Se: 0.0684 0.4008 0.2029  2 Pd 2.63-2.65, 1 Nb 2.64
Se: 0.4008 0.0684 0.2029  2 Pd 2.63-2.65, 1 Nb 2.64
Se: 0.7368 0.7368 0.2044  1 Nb 2.63, 2 Pd 2.65
Se: 0.2632 0.2632 0.7956  1 Nb 2.63, 2 Pd 2.65
Se: 0.5992 0.9316 0.7971  2 Pd 2.63-2.65, 1 Nb 2.64
Na: 0.5000 0.5000 0.5000  6 Se 3.02
Se: 0.9316 0.5992 0.7971  2 Pd 2.63-2.65, 1 Nb 2.64
Na: 0.8308 0.1692 0.5000  6 Se 3.01-3.03
Pd: 0.3338 0.6662 0.0000  6 Se 2.63-2.65
Nb: 0.0000 0.0000 0.0000  6 Se 2.63-2.64

## Properties
formation energy from raw total energies: -0.63 eV per atom
size of the total moment: 1.02 μB per formula unit
space-group type: C2/m (12)
total energy: -4.4052 eV per atom
mass density: 5.3 g/cm³